A plane-wave DFT calculation with PBE was carried out for TlHgPO4 after structural relaxation.

Structure (CIF):
```
data_TlHgPO4
_chemical_formula_sum 'Tl2 Hg2 P2 O8'
_cell_length_a 5.880
_cell_length_b 5.880
_cell_length_c 7.992
_cell_angle_alpha 90.00
_cell_angle_beta 90.00
_cell_angle_gamma 90.00
_symmetry_space_group_name_H-M 'I -4'
_symmetry_Int_Tables_number 82
loop_
_symmetry_equiv_pos_as_xyz
'x,y,z'
'y,-x,-z'
'-x,-y,z'
'-y,x,-z'
'x+1/2,y+1/2,z+1/2'
'y+1/2,-x+1/2,-z+1/2'
'-x+1/2,-y+1/2,z+1/2'
'-y+1/2,x+1/2,-z+1/2'
loop_
_atom_site_label
_atom_site_fract_x
_atom_site_fract_y
_atom_site_fract_z
Tl1 0.000 0.000 0.000
Hg1 0.000 0.000 0.500
P1 0.000 0.500 0.250
O1 0.120 0.686 0.358
```

Properties
crystal system = tetragonal
ρ = 6.01 g/cm3

***

A plane-wave DFT calculation with PBE was carried out for Tl2HgPO4 after structural relaxation.

Structure (CIF):
```
data_Tl2HgPO4
_chemical_formula_sum 'Tl16 Hg8 P8 O32'
_cell_length_a 6.131
_cell_length_b 10.510
_cell_length_c 21.346
_cell_angle_alpha 90.00
_cell_angle_beta 90.00
_cell_angle_gamma 90.00
_symmetry_space_group_name_H-M 'F d d d'
_symmetry_Int_Tables_number 70
loop_
_symmetry_equiv_pos_as_xyz
'x,y,z'
'-x,-y,-z'
'-x+1/4,-y+1/4,z'
'x+1/4,y+1/4,-z'
'x,-y+1/4,-z+1/4'
'-x,y+1/4,z+1/4'
'-x+1/4,y,-z+1/4'
'x+1/4,-y,z+1/4'
'x,y+1/2,z+1/2'
'-x,-y+1/2,-z+1/2'
'-x+1/4,-y+3/4,z+1/2'
'x+1/4,y+3/4,-z+1/2'
'x,-y+3/4,-z+3/4'
'-x,y+3/4,z+3/4'
'-x+1/4,y+1/2,-z+3/4'
'x+1/4,-y+1/2,z+3/4'
'x+1/2,y,z+1/2'
'-x+1/2,-y,-z+1/2'
'-x+3/4,-y+1/4,z+1/2'
'x+3/4,y+1/4,-z+1/2'
'x+1/2,-y+1/4,-z+3/4'
'-x+1/2,y+1/4,z+3/4'
'-x+3/4,y,-z+3/4'
'x+3/4,-y,z+3/4'
'x+1/2,y+1/2,z'
'-x+1/2,-y+1/2,-z'
'-x+3/4,-y+3/4,z'
'x+3/4,y+3/4,-z'
'x+1/2,-y+3/4,-z+1/4'
'-x+1/2,y+3/4,z+1/4'
'-x+3/4,y+1/2,-z+1/4'
'x+3/4,-y+1/2,z+1/4'
loop_
_atom_site_label
_atom_site_fract_x
_atom_site_fract_y
_atom_site_fract_z
Tl1 0.125 0.125 0.312
Hg1 0.125 0.125 0.125
P1 0.125 0.125 0.625
O1 0.023 0.285 0.834
```

Properties
crystal system = orthorhombic
ρ = 6.80 g/cm3

***

A plane-wave DFT calculation with PBE was carried out for TlHgP2O8 after structural relaxation.

Structure (CIF):
```
data_TlHgP2O8
_chemical_formula_sum 'Tl3 Hg3 P6 O24'
_cell_length_a 4.9529
_cell_length_b 4.9529
_cell_length_c 21.4013
_cell_angle_alpha 90.00
_cell_angle_beta 90.00
_cell_angle_gamma 120.00
_symmetry_space_group_name_H-M 'R -3'
_symmetry_Int_Tables_number 148
_symmetry_space_group_name_Hall '-R 3'
loop_
_atom_site_label
_atom_site_fract_x
_atom_site_fract_y
_atom_site_fract_z
Tl1 0.0000 0.0000 0.0000
Hg1 0.0000 0.0000 0.5000
P1 0.0000 0.0000 0.2471
O1 0.0000 0.0000 0.1744
O2 0.0216 0.7127 0.2695
```

Properties
crystal system = trigonal
ρ = 6.52 g/cm3

***

What DFT total energy values result from the calculations? In sequence: -75.69 -316.18 -206.36 eV for the cell shown.
What volume values result from the calculations? In sequence: 19.736 21.493 12.630 Å³/atom.
What energy relative to the elements, uncorrected values result from the calculations? In sequence: -1.42 -1.16 -1.30 eV/atom.